Entry from the Alexandria database: a geometry-optimized K2SnTeSe5 structure (GGA-PBE).

## Properties
Calculated volume in Å³/f.u.: 293.4
Spin magnetization in Bohr magnetons per cell: 0.0
Mass density in g/cm³: 4.070
E in eV per cell: -64.333
Formation energy without anion corrections in kJ/mol of formula units: -521

Lattice parameters (Å, degrees): 10.338 10.338 14.016 90.00 90.00 156.93
Element x y z (fractional)
K 0.108 0.892 0.500
K 0.126 0.874 0.138
K 0.874 0.126 0.638
K 0.892 0.108 0.000
Sn 0.434 0.566 0.261
Sn 0.566 0.434 0.761
Te 0.224 0.776 0.865
Te 0.776 0.224 0.365
Se 0.048 0.952 0.877
Se 0.273 0.727 0.499
Se 0.309 0.691 0.218
Se 0.344 0.656 0.823
Se 0.498 0.502 0.111
Se 0.502 0.498 0.611
Se 0.656 0.344 0.323
Se 0.691 0.309 0.718
Se 0.727 0.273 0.999
Se 0.952 0.048 0.377

=====

Entry from the Alexandria database: a geometry-optimized Cs2RbAsAu structure (GGA-PBE).

## Properties
ΔE to the lowest computed polymorph in meV per atom: 0.0
Calculated volume in Å³/f.u.: 248.8
Spin magnetization in Bohr magnetons per cell: 0.3
Mass density in g/cm³: 4.159
E in eV per cell: -11.258
Energy of formation from the pure elements in kcal/mol of atoms: -3.0

Lattice parameters (Å, degrees): 6.992 6.992 5.090 90.00 90.00 90.00
Element x y z (fractional)
Cs 0.000 0.500 0.000
Cs 0.500 0.000 0.000
Rb 0.000 0.000 0.500
As 0.500 0.500 0.500
Au 0.500 0.500 0.000

=====

Entry from the Alexandria database: a geometry-optimized Sc2Mn2Be structure (GGA-PBE).

## Properties
Calculated volume in Å³/f.u.: 76.1
Spin magnetization in Bohr magnetons per cell: 3.3
Mass density in g/cm³: 4.556
E in eV per cell: -68.801
Energy of formation from the pure elements in kcal/mol of atoms: 1.5

Lattice parameters (Å, degrees): 6.120 6.120 4.063 90.00 90.00 90.00
Element x y z (fractional)
Sc 0.180 0.320 0.000
Sc 0.320 0.820 0.000
Sc 0.680 0.180 0.000
Sc 0.820 0.680 0.000
Mn 0.123 0.623 0.500
Mn 0.377 0.123 0.500
Mn 0.623 0.877 0.500
Mn 0.877 0.377 0.500
Be 0.000 0.000 0.500
Be 0.500 0.500 0.500

=====

Entry from the Alexandria database: a geometry-optimized MnAlNi2 structure (GGA-PBE).

## Properties
Calculated volume in Å³/f.u.: 48.2
Spin magnetization in Bohr magnetons per cell: 3.2
Mass density in g/cm³: 6.871
E in eV per cell: -25.253
Energy of formation from the pure elements in kcal/mol of atoms: -4.5

Lattice parameters (Å, degrees): 2.705 2.705 6.582 90.00 90.00 90.00
Element x y z (fractional)
Mn 0.000 0.000 0.000
Al 0.500 0.500 0.728
Ni 0.000 0.000 0.490
Ni 0.500 0.500 0.245

=====

Entry from the Alexandria database: a geometry-optimized K3Tl8Cd structure (GGA-PBE).

## Properties
Calculated volume in Å³/f.u.: 414.8
Spin magnetization in Bohr magnetons per cell: 0.0
Mass density in g/cm³: 7.465
E in eV per cell: -23.596
Energy of formation from the pure elements in kcal/mol of atoms: -0.9

Lattice parameters (Å, degrees): 11.425 11.425 11.425 33.96 33.96 33.96
Element x y z (fractional)
K 0.000 0.000 0.000
K 0.126 0.126 0.126
K 0.509 0.509 0.509
Tl 0.063 0.564 0.564
Tl 0.067 0.067 0.565
Tl 0.067 0.565 0.067
Tl 0.315 0.315 0.315
Tl 0.564 0.063 0.564
Tl 0.564 0.564 0.063
Tl 0.565 0.067 0.067
Tl 0.814 0.814 0.814
Cd 0.638 0.638 0.638

=====

Entry from the Alexandria database: a geometry-optimized Cu2AsPd2 structure (GGA-PBE).

## Properties
Calculated volume in Å³/f.u.: 77.4
Spin magnetization in Bohr magnetons per cell: 0.0
Mass density in g/cm³: 8.898
E in eV per cell: -46.597
Energy of formation from the pure elements in kcal/mol of atoms: -0.3

Lattice parameters (Å, degrees): 6.520 6.520 3.643 90.00 90.00 90.00
Element x y z (fractional)
Cu 0.143 0.357 0.000
Cu 0.357 0.857 0.000
Cu 0.643 0.143 0.000
Cu 0.857 0.643 0.000
As 0.000 0.000 0.500
As 0.500 0.500 0.500
Pd 0.155 0.655 0.500
Pd 0.345 0.155 0.500
Pd 0.655 0.845 0.500
Pd 0.845 0.345 0.500

=====

What did the second record say?
Entry from the Alexandria database: a geometry-optimized Cs2RbAsAu structure (GGA-PBE).

## Properties
ΔE to the lowest computed polymorph in meV per atom: 0.0
Calculated volume in Å³/f.u.: 248.8
Spin magnetization in Bohr magnetons per cell: 0.3
Mass density in g/cm³: 4.159
E in eV per cell: -11.258
Energy of formation from the pure elements in kcal/mol of atoms: -3.0

Lattice parameters (Å, degrees): 6.992 6.992 5.090 90.00 90.00 90.00
Element x y z (fractional)
Cs 0.000 0.500 0.000
Cs 0.500 0.000 0.000
Rb 0.000 0.000 0.500
As 0.500 0.500 0.500
Au 0.500 0.500 0.000